An optimized crystal structure of Pr5U3N8, computed with PBE.

Cell lengths 7.1281, 7.1281, 7.1689 Å; angles 60.19, 60.19, 60.00 degrees
Closest atoms and distances in Å follow each position.
Atoms (fractional coordinates):
Pr (0.5000, 0.0000, 0.0000)  6 N 2.70-2.75
N (0.7498, 0.7498, 0.2925)  2 U 2.32, 2 Pr 2.54-2.55
Pr (0.0000, 0.0000, 0.0000)  6 N 2.55
Pr (0.5000, 0.5000, 0.0000)  6 N 2.70-2.75
Pr (0.0000, 0.5000, 0.0000)  6 N 2.70-2.75
N (0.2079, 0.7498, 0.2925)  2 U 2.32, 2 Pr 2.54-2.55
N (0.2502, 0.2502, 0.7075)  2 U 2.32, 2 Pr 2.54-2.55
U (0.0000, 0.5000, 0.5000)  6 N 2.32-2.38
Pr (0.5000, 0.5000, 0.5000)  6 N 2.54
N (0.2502, 0.7921, 0.7075)  2 U 2.32, 2 Pr 2.54-2.55
U (0.5000, 0.0000, 0.5000)  6 N 2.32-2.38
N (0.2341, 0.2341, 0.2978)  3 U 2.38
N (0.7498, 0.2079, 0.2925)  2 U 2.32, 2 Pr 2.54-2.55
N (0.7921, 0.2502, 0.7075)  2 U 2.32, 2 Pr 2.54-2.55
N (0.7659, 0.7659, 0.7022)  3 U 2.38
U (0.0000, 0.0000, 0.5000)  6 N 2.32-2.38

Computed properties:
The space-group type is R-3m, No. 166. The calculation puts the final energy at -146.286 eV/f.u. The uncorrected formation energy comes out at -1370 meV per atom. As for the density of states at the Fermi level: 11.8 states/eV per cell.

=====

An optimized crystal structure of InGe3P, computed with PBE.

Cell lengths 4.8723, 4.8723, 4.8723 Å; angles 90.00, 90.00, 90.00 degrees
Closest atoms and distances in Å follow each position.
Atoms (fractional coordinates):
Ge (0.5000, 0.0000, 0.0000)  2 P 2.44
In (0.5000, 0.5000, 0.5000)  12 Ge 3.45
Ge (0.0000, 0.0000, 0.5000)  2 P 2.44
Ge (0.0000, 0.5000, 0.0000)  2 P 2.44
P (0.0000, 0.0000, 0.0000)  6 Ge 2.44

Computed properties:
The space-group type is Pm-3m, No. 221. The calculation puts the formation energy at 2.53 eV/f.u. The calculation puts the final energy at -19.473 eV/f.u. As for the density of states at the Fermi level: 1.9 states/eV per cell. As for the excess energy over the best structure of this formula in the dataset: 0 meV per atom.

=====

An optimized crystal structure of ZrCu2Re, computed with PBE.

Cell lengths 4.4125, 4.4125, 4.4125 Å; angles 60.00, 60.00, 60.00 degrees
Closest atoms and distances in Å follow each position.
Atoms (fractional coordinates):
Cu (0.7500, 0.7500, 0.7500)  4 Re 2.70, 4 Zr 2.70
Cu (0.2500, 0.2500, 0.2500)  4 Re 2.70, 4 Zr 2.70
Re (0.5000, 0.5000, 0.5000)  8 Cu 2.70
Zr (0.0000, 0.0000, 0.0000)  8 Cu 2.70

Computed properties:
The space-group type is Fm-3m, No. 225. The calculation puts the formation energy at 0.84 eV/f.u. The calculation puts the final energy at -28.345 eV/f.u. As for the density of states at the Fermi level: 4.5 states/eV per cell. As for the excess energy over the best structure of this formula in the dataset: 129 meV per atom.